The following is a DFT calculation (PBE) of Na2Sn3Br8 after structural relaxation.

Summary:
Its volume is 471 Å³/f.u. Its uncorrected formation energy is -96 kJ per mole of atoms. As for the space group: C2/m.

Lattice parameters (Å, degrees): 7.594 8.638 8.449 120.75 97.68 90.00
Atoms (fractional coordinates):
1 Br 0.360 0.890 0.251
2 Br 0.117 0.385 0.769
3 Br 0.883 0.615 0.231
4 Br 0.140 0.880 0.761
5 Br 0.860 0.120 0.239
6 Br 0.640 0.110 0.749
7 Br 0.360 0.361 0.251
8 Br 0.640 0.639 0.749
9 Sn 0.000 0.748 0.000
10 Sn 0.000 0.252 0.000
11 Sn 0.500 0.000 0.000
12 Na 0.579 0.717 0.434
13 Na 0.421 0.283 0.566